Entry 1:
A plane-wave DFT calculation with GGA-PBE was carried out for a relaxed structure of MnFeMoRh.

Structure (POSCAR):
```
MnFeMoRh
1.0
6.030 0.000 0.000
0.000 6.030 0.000
0.000 0.000 6.030
Mn Fe Mo Rh
4 4 4 4
direct
0.000 0.000 0.000
0.000 0.500 0.500
0.500 0.000 0.500
0.500 0.500 0.000
0.000 0.000 0.500
0.000 0.500 0.000
0.500 0.000 0.000
0.500 0.500 0.500
0.250 0.250 0.750
0.250 0.750 0.250
0.750 0.250 0.250
0.750 0.750 0.750
0.250 0.250 0.250
0.250 0.750 0.750
0.750 0.250 0.750
0.750 0.750 0.250
```

Calculated values
Energy of formation from the pure elements, eV/atom: 0.02


Entry 2:
A plane-wave DFT calculation with GGA-PBE was carried out for a relaxed structure of MnFeSbMo.

Structure (POSCAR):
```
MnFeSbMo
1.0
6.188 0.000 0.000
0.000 6.188 0.000
0.000 0.000 6.188
Mn Fe Sb Mo
4 4 4 4
direct
0.000 0.000 0.000
0.000 0.500 0.500
0.500 0.000 0.500
0.500 0.500 0.000
0.250 0.250 0.250
0.250 0.750 0.750
0.750 0.250 0.750
0.750 0.750 0.250
0.000 0.000 0.500
0.000 0.500 0.000
0.500 0.000 0.000
0.500 0.500 0.500
0.250 0.250 0.750
0.250 0.750 0.250
0.750 0.250 0.250
0.750 0.750 0.750
```

Calculated values
Energy relative to the elements, uncorrected, eV/f.u.: 0.73


Entry 3:
A plane-wave DFT calculation with GGA-PBE was carried out for a relaxed structure of ScMnFeMo2.

Structure (POSCAR):
```
ScMnFeMo2
1.0
4.509 0.000 0.000
0.000 4.509 0.000
0.000 0.000 4.216
Sc Mn Fe Mo
1 1 1 2
direct
0.000 0.000 0.000
0.500 0.500 0.000
0.500 0.500 0.500
0.000 0.500 0.500
0.500 0.000 0.500
```

Calculated values
Energy of formation from the pure elements, eV/atom: 0.81


Entry 4:
A plane-wave DFT calculation with GGA-PBE was carried out for a relaxed structure of Mn2Fe5SiMo2.

Structure (POSCAR):
```
Mn2Fe5SiMo2
1.0
8.090 0.000 0.000
0.000 8.090 0.000
0.000 0.000 3.731
Mn Fe Si Mo
4 10 2 4
direct
0.133 0.367 0.000
0.367 0.867 0.000
0.633 0.133 0.000
0.867 0.633 0.000
0.000 0.500 0.500
0.070 0.198 0.500
0.198 0.930 0.500
0.302 0.430 0.500
0.430 0.698 0.500
0.500 0.000 0.500
0.570 0.302 0.500
0.698 0.570 0.500
0.802 0.070 0.500
0.930 0.802 0.500
0.000 0.000 0.000
0.500 0.500 0.000
0.162 0.662 0.000
0.338 0.162 0.000
0.662 0.838 0.000
0.838 0.338 0.000
```

Calculated values
Energy relative to the elements, uncorrected, eV/f.u.: 1.05


Entry 5:
A plane-wave DFT calculation with GGA-PBE was carried out for a relaxed structure of Mn5Fe2SiMo2.

Structure (POSCAR):
```
Mn5Fe2SiMo2
1.0
8.003 0.000 0.000
0.000 8.003 0.000
0.000 0.000 3.798
Mn Fe Si Mo
10 4 2 4
direct
0.000 0.500 0.000
0.070 0.194 0.000
0.194 0.930 0.000
0.306 0.430 0.000
0.430 0.694 0.000
0.500 0.000 0.000
0.570 0.306 0.000
0.694 0.570 0.000
0.806 0.070 0.000
0.930 0.806 0.000
0.135 0.365 0.500
0.365 0.865 0.500
0.635 0.135 0.500
0.865 0.635 0.500
0.000 0.000 0.500
0.500 0.500 0.500
0.162 0.662 0.500
0.338 0.162 0.500
0.662 0.838 0.500
0.838 0.338 0.500
```

Calculated values
Energy relative to the elements, uncorrected, eV/f.u.: 0.96


Entry 6:
A plane-wave DFT calculation with GGA-PBE was carried out for a relaxed structure of MnFeSnMo.

Structure (POSCAR):
```
MnFeSnMo
1.0
6.103 0.000 0.000
0.000 6.103 0.000
0.000 0.000 6.103
Mn Fe Sn Mo
4 4 4 4
direct
0.000 0.000 0.000
0.000 0.500 0.500
0.500 0.000 0.500
0.500 0.500 0.000
0.000 0.000 0.500
0.000 0.500 0.000
0.500 0.000 0.000
0.500 0.500 0.500
0.250 0.250 0.250
0.250 0.750 0.750
0.750 0.250 0.750
0.750 0.750 0.250
0.250 0.250 0.750
0.250 0.750 0.250
0.750 0.250 0.250
0.750 0.750 0.750
```

Calculated values
Energy of formation from the pure elements, eV/atom: 0.21


Entry 7:
A plane-wave DFT calculation with GGA-PBE was carried out for a relaxed structure of TaMnFeMo.

Structure (POSCAR):
```
TaMnFeMo
1.0
6.070 0.000 0.000
0.000 6.070 0.000
0.000 0.000 6.070
Ta Mn Fe Mo
4 4 4 4
direct
0.000 0.000 0.000
0.000 0.500 0.500
0.500 0.000 0.500
0.500 0.500 0.000
0.250 0.250 0.250
0.250 0.750 0.750
0.750 0.250 0.750
0.750 0.750 0.250
0.250 0.250 0.750
0.250 0.750 0.250
0.750 0.250 0.250
0.750 0.750 0.750
0.000 0.000 0.500
0.000 0.500 0.000
0.500 0.000 0.000
0.500 0.500 0.500
```

Calculated values
Energy of formation from the pure elements, eV/atom: 0.00


Entry 8:
A plane-wave DFT calculation with GGA-PBE was carried out for a relaxed structure of MnFeTcMo.

Structure (POSCAR):
```
MnFeTcMo
1.0
6.005 0.000 0.000
0.000 6.005 0.000
0.000 0.000 6.005
Mn Fe Tc Mo
4 4 4 4
direct
0.000 0.000 0.000
0.000 0.500 0.500
0.500 0.000 0.500
0.500 0.500 0.000
0.250 0.250 0.250
0.250 0.750 0.750
0.750 0.250 0.750
0.750 0.750 0.250
0.250 0.250 0.750
0.250 0.750 0.250
0.750 0.250 0.250
0.750 0.750 0.750
0.000 0.000 0.500
0.000 0.500 0.000
0.500 0.000 0.000
0.500 0.500 0.500
```

Calculated values
Energy of formation from the pure elements, eV/atom: 0.09


Entry 9:
A plane-wave DFT calculation with GGA-PBE was carried out for a relaxed structure of Ti2MnFeMo.

Structure (POSCAR):
```
Ti2MnFeMo
1.0
4.705 0.000 0.000
0.000 4.705 0.000
0.000 0.000 4.427
Ti Mn Fe Mo
2 1 1 1
direct
0.000 0.500 0.000
0.500 0.000 0.000
0.000 0.000 0.500
0.500 0.500 0.500
0.500 0.500 0.000
```

Calculated values
Energy of formation from the pure elements, eV/atom: 1.09


Entry 10:
A plane-wave DFT calculation with GGA-PBE was carried out for a relaxed structure of MnV2Fe5Mo2.

Structure (POSCAR):
```
MnV2Fe5Mo2
1.0
8.300 0.000 0.000
0.000 8.300 0.000
0.000 0.000 3.690
Mn V Fe Mo
2 4 10 4
direct
0.000 0.000 0.000
0.500 0.500 0.000
0.118 0.382 0.000
0.382 0.882 0.000
0.618 0.118 0.000
0.882 0.618 0.000
0.000 0.500 0.500
0.055 0.199 0.500
0.199 0.945 0.500
0.301 0.445 0.500
0.445 0.699 0.500
0.500 0.000 0.500
0.555 0.301 0.500
0.699 0.555 0.500
0.801 0.055 0.500
0.945 0.801 0.500
0.184 0.684 0.000
0.316 0.184 0.000
0.684 0.816 0.000
0.816 0.316 0.000
```

Calculated values
Energy of formation from the pure elements, eV/atom: 0.27


Entry 11:
A plane-wave DFT calculation with GGA-PBE was carried out for a relaxed structure of MnZnFeMo.

Structure (POSCAR):
```
MnZnFeMo
1.0
5.867 0.000 0.000
0.000 5.867 0.000
0.000 0.000 5.867
Mn Zn Fe Mo
4 4 4 4
direct
0.000 0.000 0.000
0.000 0.500 0.500
0.500 0.000 0.500
0.500 0.500 0.000
0.250 0.250 0.250
0.250 0.750 0.750
0.750 0.250 0.750
0.750 0.750 0.250
0.000 0.000 0.500
0.000 0.500 0.000
0.500 0.000 0.000
0.500 0.500 0.500
0.250 0.250 0.750
0.250 0.750 0.250
0.750 0.250 0.250
0.750 0.750 0.750
```

Calculated values
Energy of formation from the pure elements, eV/atom: 0.12


Entry 12:
A plane-wave DFT calculation with GGA-PBE was carried out for a relaxed structure of Mn2FeN.

Structure (POSCAR):
```
Mn2FeN
1.0
2.729 0.000 0.000
-1.365 2.364 0.000
0.000 0.000 18.977
Mn Fe N
6 3 3
direct
0.000 0.000 0.000
0.000 0.000 0.212
0.333 0.667 0.667
0.333 0.667 0.879
0.667 0.333 0.333
0.667 0.333 0.545
0.000 0.000 0.771
0.333 0.667 0.437
0.667 0.333 0.104
0.000 0.000 0.608
0.333 0.667 0.274
0.667 0.333 0.941
```

Calculated values
Energy relative to the elements, uncorrected, eV/f.u.: -0.16